Entry 1:
Computed, not measured: a relaxed structure of CsRe2Tc at the PBE level of DFT.

Properties
DFT formation energy: 2.103 eV/atom
SG: No. 122
DOS(E_F): 8.42 states/eV per cell

Cell: 7.828 7.828 6.178 Å, 50.69 50.69 90.00°
Positions (direct):
Cs: 0.000 0.000 0.000
Cs: 0.750 0.250 0.500
Re: 0.564 0.125 0.250
Re: 0.186 0.625 0.250
Re: 0.375 0.436 0.750
Re: 0.875 0.814 0.750
Tc: 0.500 0.500 0.000
Tc: 0.250 0.750 0.500

Entry 2:
Computed, not measured: a relaxed structure of Cs2ReTc at the PBE level of DFT.

Properties
DFT formation energy: 2.921 eV/atom
SG: No. 225
DOS(E_F): 7.48 states/eV per cell

Cell: 5.457 5.457 5.457 Å, 60.00 60.00 60.00°
Site moments in Bohr magnetons follow the coordinates.
Positions (direct):
Cs: 0.250 0.250 0.250  0.03
Cs: 0.750 0.750 0.750  0.03
Re: 0.500 0.500 0.500  2.69
Tc: 0.000 0.000 0.000  -0.11

Entry 3:
Computed, not measured: a relaxed structure of CsRe2Tc at the PBE level of DFT.

Properties
DFT formation energy: 2.100 eV/atom
SG: No. 225
DOS(E_F): 2.54 states/eV per cell

Cell: 4.658 4.658 4.658 Å, 60.00 60.00 60.00°
Positions (direct):
Cs: 0.500 0.500 0.500
Re: 0.250 0.250 0.250
Re: 0.750 0.750 0.750
Tc: 0.000 0.000 0.000

Entry 4:
Computed, not measured: a relaxed structure of Cs2ReTe at the PBE level of DFT.

Properties
SG: No. 225
DOS(E_F): 0.04 states/eV per cell
total DFT energy (no corrections): -3.30 eV per atom

Cell: 6.388 6.388 6.388 Å, 60.00 60.00 60.00°
Site moments in Bohr magnetons follow the coordinates.
Positions (direct):
Cs: 0.250 0.250 0.250  0.01
Cs: 0.750 0.750 0.750  0.01
Re: 0.500 0.500 0.500  3.91
Te: 0.000 0.000 0.000  0.14

Entry 5:
Computed, not measured: a relaxed structure of CsReTe2 at the PBE level of DFT.

Properties
SG: No. 122
DOS(E_F): 8.21 states/eV per cell
total DFT energy (no corrections): -4.87 eV per atom

Cell: 8.266 8.266 7.420 Å, 56.15 56.15 90.00°
Positions (direct):
Cs: 0.500 0.500 0.000
Cs: 0.250 0.750 0.500
Re: 0.000 0.000 0.000
Re: 0.750 0.250 0.500
Te: 0.749 0.125 0.250
Te: 0.001 0.625 0.250
Te: 0.375 0.251 0.750
Te: 0.875 0.999 0.750

Entry 6:
Computed, not measured: a relaxed structure of CsReTe2 at the PBE level of DFT.

Properties
SG: No. 166
DOS(E_F): 4.71 states/eV per cell
total DFT energy (no corrections): -4.05 eV per atom

Cell: 11.591 11.591 11.591 Å, 16.77 16.77 16.77°
Site moments in Bohr magnetons follow the coordinates.
Positions (direct):
Cs: 0.500 0.500 0.500  0.00
Re: 0.000 0.000 0.000  0.43
Te: 0.926 0.926 0.926  0.02
Te: 0.074 0.074 0.074  0.02